a.
VASP calculation (PBE) on a geometry-optimized HoSnPtC structure.

Cell lengths 4.115, 4.115, 11.149 Å; angles 90.00, 90.00, 120.00 degrees
Sites, in units of the cell vectors:
C  0.333  0.667  0.297
C  0.667  0.333  0.797
Ho  0.667  0.333  0.315
Ho  0.333  0.667  0.815
Pt  0.333  0.667  0.122
Pt  0.667  0.333  0.622
Sn  0.000  0.000  0.016
Sn  0.000  0.000  0.516

Summary:
* crystal system: hexagonal
* symmetry: No. 186
* M_tot: 0.001 μB/atom

=====

b.
VASP calculation (PBE) on a geometry-optimized HoSnPtC structure.

Cell lengths 4.554, 4.554, 7.891 Å; angles 90.00, 90.00, 120.00 degrees
Sites, in units of the cell vectors:
C  0.333  0.667  0.374
C  0.667  0.333  0.626
Ho  0.667  0.333  0.315
Ho  0.333  0.667  0.685
Pt  0.333  0.667  0.115
Pt  0.667  0.333  0.885
Sn  0.000  0.000  0.000
Sn  0.000  0.000  0.500

Summary:
* crystal system: trigonal
* symmetry: No. 164
* M_tot: 0.000 μB/atom

=====

Tell me which of them is the most stable. Sure, it is a.

=====

a.
VASP calculation (PBE) on a geometry-optimized HoZrSnC structure.

Cell lengths 3.468, 3.468, 15.268 Å; angles 90.00, 90.00, 120.00 degrees
Sites, in units of the cell vectors:
C  0.000  0.000  0.008
C  0.000  0.000  0.508
Ho  0.333  0.667  0.415
Ho  0.667  0.333  0.915
Sn  0.667  0.333  0.243
Sn  0.333  0.667  0.743
Zr  0.333  0.667  0.085
Zr  0.667  0.333  0.585

Summary:
* crystal system: hexagonal
* symmetry: No. 186
* M_tot: 0.000 μB/atom

=====

b.
VASP calculation (PBE) on a geometry-optimized HoZrSnC structure.

Cell lengths 3.485, 3.485, 15.242 Å; angles 90.00, 90.00, 120.00 degrees
Sites, in units of the cell vectors:
C  0.000  0.000  0.000
C  0.000  0.000  0.500
Ho  0.333  0.667  0.412
Ho  0.667  0.333  0.588
Sn  0.667  0.333  0.238
Sn  0.333  0.667  0.762
Zr  0.333  0.667  0.081
Zr  0.667  0.333  0.919

Summary:
* crystal system: trigonal
* symmetry: No. 164
* M_tot: 0.003 μB/atom

=====

Tell me which of them is the most stable. Sure, it is a.